(1)
CdInCl2: relaxed, PBE-GGA.

Unit cell a=4.567 b=4.567 c=7.052 alpha=71.59 beta=71.59 gamma=59.49
Positions (direct):
In 0.750 0.750 0.750
Cl 0.508 0.508 0.474
Cd 0.250 0.250 0.250
Cl 0.992 0.992 0.026

Properties
formation energy without anion corrections = -562 meV/atom
E = -2.398 eV/atom

---

(2)
Cd3In5Cl12: relaxed, PBE-GGA.

Unit cell a=4.027 b=12.688 c=12.688 alpha=120.00 beta=90.00 gamma=90.00
Positions (direct):
In 0.000 0.287 0.000
Cl 0.000 0.000 0.533
Cl 0.500 0.551 0.755
In 0.000 0.333 0.667
Cd 0.500 0.000 0.671
In 0.000 0.000 0.287
Cd 0.500 0.329 0.329
Cl 0.500 0.245 0.796
Cl 0.500 0.755 0.551
Cl 0.500 0.796 0.245
Cl 0.500 0.449 0.204
In 0.000 0.713 0.713
Cl 0.000 0.467 0.467
In 0.000 0.667 0.333
Cl 0.000 0.812 0.000
Cl 0.000 0.000 0.812
Cl 0.000 0.188 0.188
Cd 0.500 0.671 0.000
Cl 0.500 0.204 0.449
Cl 0.000 0.533 0.000

Properties
formation energy without anion corrections = -929 meV/atom
E = -2.859 eV/atom

---

(3)
CdIn2Cl6: relaxed, PBE-GGA.

Unit cell a=7.079 b=10.195 c=10.195 alpha=75.84 beta=70.29 gamma=70.29
Positions (direct):
In 0.657 0.597 0.596
Cl 0.172 0.436 0.208
In 0.157 0.596 0.597
Cl 0.087 0.811 0.010
Cl 0.127 0.218 0.518
Cd 0.250 0.000 0.000
Cl 0.373 0.482 0.782
In 0.343 0.403 0.404
Cl 0.873 0.782 0.482
Cd 0.750 0.000 0.000
Cl 0.672 0.208 0.436
In 0.843 0.404 0.403
Cl 0.413 0.990 0.189
Cl 0.828 0.564 0.792
Cl 0.328 0.792 0.564
Cl 0.627 0.518 0.218
Cl 0.913 0.189 0.990
Cl 0.587 0.010 0.811

Properties
formation energy without anion corrections = -977 meV/atom
E = -2.918 eV/atom

---

(4)
Cd2InCl: relaxed, PBE-GGA.

Unit cell a=5.336 b=5.336 c=5.336 alpha=60.00 beta=60.00 gamma=60.00
Positions (direct):
Cd 0.750 0.750 0.750
In 0.500 0.500 0.500
Cl 0.000 0.000 0.000
Cd 0.250 0.250 0.250

Properties
formation energy without anion corrections = -115 meV/atom
E = -1.719 eV/atom

---

(5)
CdInCl2: relaxed, PBE-GGA.

Unit cell a=5.216 b=5.216 c=5.216 alpha=60.00 beta=60.00 gamma=60.00
Positions (direct):
Cd 0.500 0.500 0.500
Cl 0.750 0.750 0.750
Cl 0.000 0.000 0.000
In 0.250 0.250 0.250

Properties
formation energy without anion corrections = -309 meV/atom
E = -2.146 eV/atom

---

(6)
CdInCl2: relaxed, PBE-GGA.

Unit cell a=6.052 b=6.052 c=6.052 alpha=143.71 beta=120.74 gamma=71.51
Positions (direct):
Cd 0.750 0.250 0.500
Cl 0.560 0.560 0.000
Cl 0.940 0.940 0.000
In 0.250 0.750 0.500

Properties
formation energy without anion corrections = -541 meV/atom
E = -2.378 eV/atom

---

(7)
CdIn2Cl: relaxed, PBE-GGA.

Unit cell a=3.576 b=3.576 c=10.005 alpha=79.71 beta=79.71 gamma=60.00
Positions (direct):
In 0.090 0.090 0.731
Cd 0.669 0.669 0.992
Cl 0.492 0.492 0.525
In 0.250 0.250 0.251

Properties
formation energy without anion corrections = -274 meV/atom
E = -2.334 eV/atom

---

(8)
CdInCl2: relaxed, PBE-GGA.

Unit cell a=4.405 b=7.635 c=6.219 alpha=35.20 beta=90.00 gamma=90.00
Positions (direct):
In 0.500 0.500 0.500
Cl 0.500 0.500 0.000
Cd 0.000 0.000 0.500
Cl 0.000 0.000 0.000

Properties
formation energy without anion corrections = -575 meV/atom
E = -2.411 eV/atom

---

(9)
CdIn6Cl12: relaxed, PBE-GGA.

Unit cell a=10.928 b=10.928 c=10.928 alpha=116.37 beta=116.37 gamma=116.37
Positions (direct):
Cl 0.991 0.766 0.233
Cl 0.767 0.009 0.234
Cl 0.607 0.278 0.610
In 0.638 0.904 0.771
In 0.771 0.638 0.904
Cd 0.000 0.000 0.000
In 0.229 0.362 0.096
Cl 0.009 0.234 0.767
In 0.362 0.096 0.229
Cl 0.234 0.767 0.009
Cl 0.610 0.607 0.278
Cl 0.390 0.393 0.722
In 0.096 0.229 0.362
Cl 0.766 0.233 0.991
Cl 0.393 0.722 0.390
Cl 0.278 0.610 0.607
Cl 0.722 0.390 0.393
In 0.904 0.771 0.638
Cl 0.233 0.991 0.766

Properties
formation energy without anion corrections = -795 meV/atom
E = -2.875 eV/atom

---

(10)
CdInCl3: relaxed, PBE-GGA.

Unit cell a=6.827 b=8.625 c=9.900 alpha=98.18 beta=90.00 gamma=90.00
Positions (direct):
In 0.235 0.398 0.842
Cl 0.658 0.360 0.905
In 0.265 0.398 0.342
Cl 0.083 0.196 0.056
Cl 0.432 0.933 0.827
Cl 0.158 0.640 0.595
Cl 0.917 0.804 0.944
Cd 0.245 0.922 0.071
In 0.765 0.602 0.158
Cl 0.068 0.933 0.327
Cl 0.417 0.196 0.556
Cd 0.745 0.078 0.429
Cl 0.342 0.640 0.095
In 0.735 0.602 0.658
Cd 0.255 0.922 0.571
Cl 0.583 0.804 0.444
Cl 0.932 0.067 0.673
Cd 0.755 0.078 0.929
Cl 0.842 0.360 0.405
Cl 0.568 0.067 0.173

Properties
formation energy without anion corrections = -973 meV/atom
E = -2.812 eV/atom

---

(11)
CdIn2Cl: relaxed, PBE-GGA.

Unit cell a=4.536 b=3.632 c=7.456 alpha=61.57 beta=90.00 gamma=90.00
Positions (direct):
In 0.000 0.989 0.994
In 0.000 0.511 0.506
Cl 0.500 0.750 0.750
Cd 0.500 0.250 0.250

Properties
formation energy without anion corrections = -231 meV/atom
E = -2.291 eV/atom

---

(12)
CdInCl4: relaxed, PBE-GGA.

Unit cell a=4.034 b=6.965 c=12.717 alpha=89.42 beta=90.00 gamma=90.00
Positions (direct):
In 0.000 0.000 0.000
Cl 0.500 0.156 0.386
Cl 0.500 0.183 0.884
Cl 0.000 0.656 0.886
Cl 0.000 0.683 0.384
Cl 0.000 0.344 0.114
Cd 0.000 0.000 0.500
Cl 0.500 0.844 0.614
Cl 0.500 0.817 0.116
Cl 0.000 0.317 0.616
Cd 0.500 0.500 0.000
In 0.500 0.500 0.500

Properties
formation energy without anion corrections = -932 meV/atom
E = -2.772 eV/atom

---

(13)
CdIn2Cl: relaxed, PBE-GGA.

Unit cell a=6.061 b=6.061 c=5.416 alpha=89.97 beta=89.97 gamma=31.96
Positions (direct):
In 0.991 0.991 0.874
In 0.247 0.247 0.375
Cl 0.753 0.753 0.876
Cd 0.508 0.508 0.374

Properties
formation energy without anion corrections = -318 meV/atom
E = -2.378 eV/atom

---

(14)
Cd3InCl: relaxed, PBE-GGA.

Unit cell a=5.604 b=5.604 c=5.604 alpha=90.00 beta=90.00 gamma=90.00
Positions (direct):
Cl 0.000 0.000 0.000
In 0.500 0.500 0.500
Cd 0.000 0.000 0.500
Cd 0.000 0.500 0.000
Cd 0.500 0.000 0.000

Properties
formation energy without anion corrections = 269 meV/atom
E = -1.197 eV/atom

---

(15)
Cd2In2Cl: relaxed, PBE-GGA.

Unit cell a=8.363 b=8.363 c=3.832 alpha=90.00 beta=90.00 gamma=90.00
Positions (direct):
Cd 0.872 0.628 0.000
In 0.324 0.176 0.500
Cd 0.128 0.372 0.000
In 0.676 0.824 0.500
Cd 0.372 0.872 0.000
In 0.176 0.676 0.500
In 0.824 0.324 0.500
Cl 0.500 0.500 0.000
Cd 0.628 0.128 0.000
Cl 0.000 0.000 0.000

Properties
formation energy without anion corrections = -142 meV/atom
E = -1.973 eV/atom

---

(16)
CdIn2Cl: relaxed, PBE-GGA.

Unit cell a=6.173 b=6.173 c=5.601 alpha=62.73 beta=62.73 gamma=34.71
Positions (direct):
Cl 0.750 0.750 0.750
In 0.006 0.006 0.994
Cd 0.250 0.250 0.250
In 0.494 0.494 0.506

Properties
formation energy without anion corrections = -242 meV/atom
E = -2.302 eV/atom

---

(17)
Cd2InCl: relaxed, PBE-GGA.

Unit cell a=5.337 b=5.337 c=5.337 alpha=60.00 beta=60.00 gamma=60.00
Positions (direct):
Cl 0.500 0.500 0.500
Cd 0.250 0.250 0.250
Cd 0.000 0.000 0.000
In 0.750 0.750 0.750

Properties
formation energy without anion corrections = -183 meV/atom
E = -1.786 eV/atom

---

(18)
Cd4InCl: relaxed, PBE-GGA.

Unit cell a=6.012 b=6.012 c=6.012 alpha=60.00 beta=60.00 gamma=60.00
Positions (direct):
Cd 0.375 0.375 0.375
In 0.000 0.000 0.000
Cd 0.375 0.375 0.875
Cd 0.375 0.875 0.375
Cl 0.750 0.750 0.750
Cd 0.875 0.375 0.375

Properties
formation energy without anion corrections = -61 meV/atom
E = -1.435 eV/atom

---

(19)
Cd2In2Cl: relaxed, PBE-GGA.

Unit cell a=4.265 b=4.265 c=8.367 alpha=75.23 beta=75.23 gamma=90.00
Positions (direct):
Cl 0.000 0.000 0.000
Cd 0.250 0.750 0.500
Cd 0.750 0.250 0.500
In 0.405 0.405 0.190
In 0.595 0.595 0.810

Properties
formation energy without anion corrections = -141 meV/atom
E = -1.972 eV/atom

---

(20)
CdIn2Cl: relaxed, PBE-GGA.

Unit cell a=3.415 b=3.415 c=9.987 alpha=90.00 beta=90.00 gamma=115.08
Positions (direct):
In 0.000 0.000 0.520
Cl 0.500 0.500 0.750
Cd 0.500 0.500 0.250
In 0.000 0.000 0.980

Properties
formation energy without anion corrections = -244 meV/atom
E = -2.303 eV/atom

---

(21)
CdIn2Cl: relaxed, PBE-GGA.

Unit cell a=3.434 b=3.434 c=9.861 alpha=90.00 beta=90.00 gamma=115.48
Positions (direct):
In 0.500 0.500 0.269
In 0.000 0.000 0.978
Cl 0.500 0.500 0.732
Cd 0.000 0.000 0.521

Properties
formation energy without anion corrections = -254 meV/atom
E = -2.314 eV/atom

---

(22)
CdInCl4: relaxed, PBE-GGA.

Unit cell a=6.133 b=6.133 c=6.133 alpha=60.00 beta=60.00 gamma=60.00
Positions (direct):
Cl 0.375 0.375 0.875
Cl 0.375 0.375 0.375
In 0.750 0.750 0.750
Cl 0.375 0.875 0.375
Cl 0.875 0.375 0.375
Cd 0.000 0.000 0.000

Properties
formation energy without anion corrections = 112 meV/atom
E = -1.728 eV/atom

---

(23)
CdInCl2: relaxed, PBE-GGA.

Unit cell a=4.067 b=5.698 c=5.706 alpha=58.96 beta=90.00 gamma=90.00
Positions (direct):
Cd 0.500 0.739 0.738
In 0.000 0.519 0.520
Cl 0.000 0.936 0.935
Cl 0.500 0.307 0.307

Properties
formation energy without anion corrections = -706 meV/atom
E = -2.542 eV/atom

---

(24)
CdIn3Cl: relaxed, PBE-GGA.

Unit cell a=5.605 b=5.605 c=5.605 alpha=90.00 beta=90.00 gamma=90.00
Positions (direct):
Cl 0.500 0.500 0.500
Cd 0.000 0.000 0.000
In 0.000 0.000 0.500
In 0.000 0.500 0.000
In 0.500 0.000 0.000

Properties
formation energy without anion corrections = 51 meV/atom
E = -2.145 eV/atom

---

(25)
Cd2InCl: relaxed, PBE-GGA.

Unit cell a=6.021 b=4.309 c=4.309 alpha=90.00 beta=90.00 gamma=90.00
Positions (direct):
Cd 0.000 0.500 0.500
Cl 0.500 0.500 0.000
Cd 0.000 0.000 0.000
In 0.500 0.000 0.500

Properties
formation energy without anion corrections = -239 meV/atom
E = -1.843 eV/atom